LaGa6S8 | Alexandria via LeMat-Bulk | PBE | optimized geometry; formation energy from raw total energies = -589 meV per atom; size of the total moment = 0.000 μB per formula unit
1.0
6.878 -0.118 -0.122
-0.332 6.871 -0.122
-0.332 -0.343 6.863
La Ga S
1 6 8
direct
0.000 0.000 0.000 La
0.327 0.619 0.259 Ga
0.259 0.327 0.619 Ga
0.381 0.741 0.673 Ga
0.741 0.673 0.381 Ga
0.673 0.381 0.741 Ga
0.619 0.259 0.327 Ga
0.729 0.729 0.729 S
0.271 0.271 0.271 S
0.377 0.073 0.792 S
0.623 0.927 0.208 S
0.927 0.208 0.623 S
0.073 0.792 0.377 S
0.792 0.377 0.073 S
0.208 0.623 0.927 S